No. 1
A plane-wave DFT calculation with PBE-GGA was carried out for ZnRhSe2 after structural relaxation.

Summary:
raw formation energy	-0.234	eV/atom

a b c (Å): 4.7440 4.0968 4.0971
angles (deg): 75.02 90.00 90.00
Sites, in units of the cell vectors:
Se1 0.0000 0.8933 0.8932
Se2 0.5000 0.3467 0.3469
Rh1 0.5000 0.7511 0.7514
Zn1 0.0000 0.5089 0.5086

No. 2
A plane-wave DFT calculation with PBE-GGA was carried out for ZnRh2Se after structural relaxation.

Summary:
raw formation energy	0.079	eV/atom

a b c (Å): 2.8626 2.8626 8.4928
angles (deg): 90.00 90.00 118.12
Sites, in units of the cell vectors:
Rh1 0.0000 0.0000 0.5033
Rh2 0.0000 0.0000 0.9967
Zn1 0.5000 0.5000 0.7500
Se1 0.5000 0.5000 0.2500

No. 3
A plane-wave DFT calculation with PBE-GGA was carried out for ZnRhSe after structural relaxation.

Summary:
distance to the lowest polymorph of the same formula	0.37	eV per formula unit
raw formation energy	-0.063	eV/atom

a b c (Å): 3.2482 3.2469 11.2658
angles (deg): 90.00 90.00 120.01
Sites, in units of the cell vectors:
Zn1 0.7773 0.5547 0.6570
Zn2 0.7773 0.5547 0.3430
Se1 0.1116 0.2232 0.1534
Se2 0.1116 0.2232 0.8466
Rh1 0.4449 0.8898 0.0000
Rh2 0.4439 0.8877 0.5000

No. 4
A plane-wave DFT calculation with PBE-GGA was carried out for ZnRh2Se after structural relaxation.

Summary:
raw formation energy	-0.103	eV/atom

a b c (Å): 8.1125 8.1125 8.1125
angles (deg): 21.15 21.15 21.15
Sites, in units of the cell vectors:
Rh1 0.5019 0.5019 0.5019
Rh2 0.9981 0.9981 0.9981
Zn1 0.7500 0.7500 0.7500
Se1 0.2500 0.2500 0.2500

No. 5
A plane-wave DFT calculation with PBE-GGA was carried out for ZrRhSe4 after structural relaxation.

Summary:
raw formation energy	0.555	eV/atom

a b c (Å): 5.4982 5.4982 5.4982
angles (deg): 60.00 60.00 60.00
Sites, in units of the cell vectors:
Se1 0.3745 0.8766 0.3745
Se2 0.3745 0.3745 0.8766
Se3 0.3745 0.3745 0.3745
Se4 0.8766 0.3745 0.3745
Rh1 0.0000 0.0000 0.0000
Zr1 0.7500 0.7500 0.7500

No. 6
A plane-wave DFT calculation with PBE-GGA was carried out for Zr3RhSe after structural relaxation.

Summary:
distance to the lowest polymorph of the same formula	0.00	eV per formula unit
raw formation energy	0.086	eV/atom

a b c (Å): 5.0314 5.0314 5.0314
angles (deg): 90.00 90.00 90.00
Sites, in units of the cell vectors:
Zr1 0.5000 0.0000 0.0000
Zr2 0.0000 0.0000 0.5000
Zr3 0.0000 0.5000 0.0000
Se1 0.5000 0.5000 0.5000
Rh1 0.0000 0.0000 0.0000

No. 7
A plane-wave DFT calculation with PBE-GGA was carried out for ZrRh3Se after structural relaxation.

Summary:
distance to the lowest polymorph of the same formula	0.00	eV per formula unit
raw formation energy	0.167	eV/atom

a b c (Å): 4.5602 4.5602 4.5602
angles (deg): 90.00 90.00 90.00
Sites, in units of the cell vectors:
Zr1 0.5000 0.5000 0.5000
Rh1 0.5000 0.0000 0.0000
Rh2 0.0000 0.5000 0.0000
Rh3 0.0000 0.0000 0.5000
Se1 0.0000 0.0000 0.0000

No. 8
A plane-wave DFT calculation with PBE-GGA was carried out for ZrRhSe after structural relaxation.

Summary:
distance to the lowest polymorph of the same formula	0.14	eV per formula unit
raw formation energy	-0.758	eV/atom

a b c (Å): 4.1531 4.1531 9.9323
angles (deg): 77.93 77.93 60.00
Sites, in units of the cell vectors:
Se1 0.2756 0.2756 0.1731
Se2 0.7244 0.7244 0.8269
Zr1 0.5617 0.5617 0.3148
Zr2 0.4383 0.4383 0.6852
Rh1 0.8326 0.8326 0.5022
Rh2 0.1674 0.1674 0.4978

No. 9
A plane-wave DFT calculation with PBE-GGA was carried out for ZrRhSe after structural relaxation.

Summary:
distance to the lowest polymorph of the same formula	0.41	eV per formula unit
raw formation energy	-0.671	eV/atom

a b c (Å): 4.9923 4.9923 5.0024
angles (deg): 138.47 138.47 59.99
Sites, in units of the cell vectors:
Rh1 0.0124 0.0124 0.0000
Zr1 0.6634 0.6634 0.0000
Se1 0.3241 0.3241 0.0000

No. 10
A plane-wave DFT calculation with PBE-GGA was carried out for ZrRh3Se after structural relaxation.

Summary:
distance to the lowest polymorph of the same formula	4.09	eV per formula unit
raw formation energy	0.985	eV/atom

a b c (Å): 4.8133 4.8133 4.8133
angles (deg): 90.00 90.00 90.00
Sites, in units of the cell vectors:
Rh1 0.0000 0.5000 0.0000
Rh2 0.5000 0.0000 0.0000
Rh3 0.0000 0.0000 0.5000
Zr1 0.0000 0.0000 0.0000
Se1 0.5000 0.5000 0.5000

No. 11
A plane-wave DFT calculation with PBE-GGA was carried out for ZrRhSe after structural relaxation.

Summary:
distance to the lowest polymorph of the same formula	0.00	eV per formula unit
raw formation energy	-0.806	eV/atom

a b c (Å): 4.2263 4.2263 3.4426
angles (deg): 90.00 90.00 120.00
Sites, in units of the cell vectors:
Zr1 0.3333 0.6667 0.6667
Rh1 0.0000 0.0000 0.1688
Se1 0.6667 0.3333 0.1646

No. 12
A plane-wave DFT calculation with PBE-GGA was carried out for ZrRhSe after structural relaxation.

Summary:
distance to the lowest polymorph of the same formula	0.46	eV per formula unit
raw formation energy	-0.652	eV/atom

a b c (Å): 4.3935 4.3935 4.3935
angles (deg): 60.00 60.00 60.00
Sites, in units of the cell vectors:
Se1 0.0000 0.0000 0.0000
Zr1 0.5000 0.5000 0.5000
Rh1 0.7500 0.7500 0.7500

No. 13
A plane-wave DFT calculation with PBE-GGA was carried out for ZrRhSe after structural relaxation.

Summary:
distance to the lowest polymorph of the same formula	0.94	eV per formula unit
raw formation energy	-0.494	eV/atom

a b c (Å): 4.4700 4.4700 4.4700
angles (deg): 60.00 60.00 60.00
Sites, in units of the cell vectors:
Se1 0.5000 0.5000 0.5000
Zr1 0.7500 0.7500 0.7500
Rh1 0.0000 0.0000 0.0000

No. 14
A plane-wave DFT calculation with PBE-GGA was carried out for SiRh after structural relaxation.

Summary:
raw formation energy	-0.273	eV/atom

a b c (Å): 10.1054 10.1054 2.9351
angles (deg): 90.00 90.00 90.00
Sites, in units of the cell vectors:
Si1 0.8126 0.5935 0.0000
Si2 0.5935 0.1874 0.0000
Si3 0.0935 0.6874 0.5000
Si4 0.3126 0.0935 0.5000
Si5 0.9065 0.3126 0.5000
Si6 0.4065 0.8126 0.0000
Si7 0.6874 0.9065 0.5000
Si8 0.1874 0.4065 0.0000
Rh1 0.6206 0.7423 0.0000
Rh2 0.1206 0.2423 0.5000
Rh3 0.2577 0.6206 0.0000
Rh4 0.3794 0.2577 0.0000
Rh5 0.7577 0.1206 0.5000
Rh6 0.7423 0.3794 0.0000
Rh7 0.2423 0.8794 0.5000
Rh8 0.8794 0.7577 0.5000

No. 15
A plane-wave DFT calculation with PBE-GGA was carried out for Si4Rh5 after structural relaxation.

Summary:
raw formation energy	-0.596	eV/atom

a b c (Å): 6.9900 6.9900 5.8878
angles (deg): 90.00 90.00 120.00
Sites, in units of the cell vectors:
Si1 0.6012 0.0000 0.7500
Si2 0.0000 0.0000 0.5000
Si3 0.3988 0.0000 0.2500
Si4 0.0000 0.6012 0.7500
Si5 0.0000 0.0000 0.0000
Si6 0.0000 0.3988 0.2500
Si7 0.3988 0.3988 0.7500
Si8 0.6012 0.6012 0.2500
Rh1 0.6667 0.3333 0.5000
Rh2 0.7350 0.0000 0.2500
Rh3 0.2650 0.2650 0.2500
Rh4 0.2650 0.0000 0.7500
Rh5 0.7350 0.7350 0.7500
Rh6 0.6667 0.3333 0.0000
Rh7 0.0000 0.2650 0.7500
Rh8 0.0000 0.7350 0.2500
Rh9 0.3333 0.6667 0.5000
Rh10 0.3333 0.6667 0.0000

No. 16
A plane-wave DFT calculation with PBE-GGA was carried out for SiRh after structural relaxation.

Summary:
raw formation energy	-0.312	eV/atom

a b c (Å): 9.6813 9.6813 2.8699
angles (deg): 90.00 90.00 120.00
Sites, in units of the cell vectors:
Si1 0.9165 0.6171 0.2500
Si2 0.0835 0.3829 0.7500
Si3 0.3829 0.2994 0.2500
Si4 0.7006 0.0835 0.2500
Si5 0.2994 0.9165 0.7500
Si6 0.6171 0.7006 0.7500
Rh1 0.5312 0.8805 0.7500
Rh2 0.1195 0.6507 0.7500
Rh3 0.4688 0.1195 0.2500
Rh4 0.3493 0.4688 0.7500
Rh5 0.6507 0.5312 0.2500
Rh6 0.8805 0.3493 0.2500

No. 17
A plane-wave DFT calculation with PBE-GGA was carried out for Si5Rh after structural relaxation.

Summary:
distance to the lowest polymorph of the same formula	2.98	eV per formula unit
raw formation energy	0.531	eV/atom

a b c (Å): 5.0071 5.0071 5.0071
angles (deg): 60.00 60.00 60.00
Sites, in units of the cell vectors:
Si1 0.6241 0.1276 0.6241
Si2 0.2500 0.2500 0.2500
Si3 0.1276 0.6241 0.6241
Si4 0.6241 0.6241 0.1276
Si5 0.6241 0.6241 0.6241
Rh1 0.0000 0.0000 0.0000

No. 18
A plane-wave DFT calculation with PBE-GGA was carried out for SiRh after structural relaxation.

Summary:
raw formation energy	-0.086	eV/atom

a b c (Å): 4.2976 4.2976 4.2976
angles (deg): 60.00 60.00 60.00
Sites, in units of the cell vectors:
Rh1 0.2500 0.2500 0.2500
Rh2 0.0000 0.0000 0.0000
Si1 0.5000 0.5000 0.5000
Si2 0.7500 0.7500 0.7500

No. 19
A plane-wave DFT calculation with PBE-GGA was carried out for SiRh after structural relaxation.

Summary:
raw formation energy	-0.687	eV/atom

a b c (Å): 4.6621 4.6621 6.6671
angles (deg): 72.03 72.03 35.90
Sites, in units of the cell vectors:
Si1 0.9836 0.9836 0.5982
Si2 0.2442 0.2442 0.9460
Si3 0.3355 0.3355 0.3414
Rh1 0.6965 0.6965 0.6602
Rh2 0.6231 0.6231 0.2746
Rh3 0.9503 0.9503 0.0129

No. 20
A plane-wave DFT calculation with PBE-GGA was carried out for Si2Rh after structural relaxation.

Summary:
raw formation energy	-0.329	eV/atom

a b c (Å): 10.7875 10.7875 10.7875
angles (deg): 164.95 164.95 21.35
Sites, in units of the cell vectors:
Rh1 0.0000 0.0000 0.0000
Rh2 0.7500 0.2500 0.5000
Si1 0.1738 0.6738 0.5000
Si2 0.4238 0.4238 0.0000
Si3 0.5762 0.5762 0.0000
Si4 0.3262 0.8262 0.5000

Number 1: calculated total energy -0.152 Ha/atom. Number 2: calculated total energy -0.176 Ha/atom. Number 3: calculated total energy -0.151 Ha/atom. Number 4: calculated total energy -0.183 Ha/atom. Number 5: calculated total energy -0.162 Ha/atom. Number 6: calculated total energy -0.265 Ha/atom. Number 7: calculated total energy -0.244 Ha/atom. Number 8: calculated total energy -0.265 Ha/atom. Number 9: calculated total energy -0.262 Ha/atom. Number 10: calculated total energy -0.214 Ha/atom. Number 11: calculated total energy -0.267 Ha/atom. Number 12: calculated total energy -0.261 Ha/atom. Number 13: calculated total energy -0.256 Ha/atom. Number 14: calculated total energy -0.245 Ha/atom. Number 15: calculated total energy -0.261 Ha/atom. Number 16: calculated total energy -0.246 Ha/atom. Number 17: calculated total energy -0.192 Ha/atom. Number 18: calculated total energy -0.238 Ha/atom. Number 19: calculated total energy -0.260 Ha/atom. Number 20: calculated total energy -0.235 Ha/atom.